1.
Compound: Rb2YSO6
Source: Alexandria via LeMat-Bulk
Functional: PBE
Structure: optimized geometry

- Formation energy without anion corrections: -1551 kJ/mol of formula units
- Total DFT energy (no corrections): -5.8353 eV per atom
- Size of the total moment: 1.04 μB/f.u.

Cell: 6.3921 6.3921 5.6082 Å, 90.00 90.00 120.00°
Fractional coordinates of all 10 atoms:
Rb (0.3333, 0.6667, 0.1177)
Rb (0.6667, 0.3333, 0.8823)
Y (0.0000, 0.0000, 0.5000)
S (0.0000, 0.0000, 0.0000)
O (0.1244, 0.2488, 0.8230)
O (0.1244, 0.8756, 0.8230)
O (0.2488, 0.1244, 0.1770)
O (0.7512, 0.8756, 0.8230)
O (0.8756, 0.1244, 0.1770)
O (0.8756, 0.7512, 0.1770)

=====

2.
Compound: RbYS2O8
Source: Alexandria via LeMat-Bulk
Functional: PBE
Structure: optimized geometry

- Formation energy without anion corrections: -2422 kJ/mol of formula units
- Total DFT energy (no corrections): -6.7045 eV per atom
- Size of the total moment: 0.00 μB/f.u.

Cell: 5.3593 5.3593 8.5223 Å, 90.00 90.00 120.00°
Fractional coordinates of all 12 atoms:
Rb (0.0000, 0.0000, 0.0000)
Y (0.0000, 0.0000, 0.5000)
S (0.3333, 0.6667, 0.7248)
S (0.6667, 0.3333, 0.2752)
O (0.1217, 0.3746, 0.6625)
O (0.2529, 0.8783, 0.6625)
O (0.3333, 0.6667, 0.8958)
O (0.3746, 0.2529, 0.3375)
O (0.6254, 0.7471, 0.6625)
O (0.6667, 0.3333, 0.1042)
O (0.7471, 0.1217, 0.3375)
O (0.8783, 0.6254, 0.3375)

=====

3.
Compound: Rb2ZnSO6
Source: Alexandria via LeMat-Bulk
Functional: PBE
Structure: optimized geometry

- Formation energy without anion corrections: -1035 kJ/mol of formula units
- Total DFT energy (no corrections): -4.7808 eV per atom
- Size of the total moment: 2.01 μB/f.u.

Cell: 6.1900 6.1900 5.1587 Å, 90.00 90.00 120.00°
Fractional coordinates of all 10 atoms:
Rb (0.3333, 0.6667, 0.2003)
Rb (0.6667, 0.3333, 0.7997)
Zn (0.0000, 0.0000, 0.5000)
S (0.0000, 0.0000, 0.0000)
O (0.1258, 0.2516, 0.8091)
O (0.1258, 0.8742, 0.8091)
O (0.2516, 0.1258, 0.1909)
O (0.7484, 0.8742, 0.8091)
O (0.8742, 0.1258, 0.1909)
O (0.8742, 0.7484, 0.1909)

=====

4.
Compound: RbZnS2O8
Source: Alexandria via LeMat-Bulk
Functional: PBE
Structure: optimized geometry

- Formation energy without anion corrections: -1638 kJ/mol of formula units
- Total DFT energy (no corrections): -5.5947 eV per atom
- Size of the total moment: 1.12 μB/f.u.

Cell: 5.0386 5.0386 8.4043 Å, 90.00 90.00 120.00°
Fractional coordinates of all 12 atoms:
Rb (0.0000, 0.0000, 0.0000)
Zn (0.0000, 0.0000, 0.5000)
S (0.3333, 0.6667, 0.7070)
S (0.6667, 0.3333, 0.2930)
O (0.0834, 0.3628, 0.6519)
O (0.2794, 0.9166, 0.6519)
O (0.3333, 0.6667, 0.8835)
O (0.3628, 0.2794, 0.3481)
O (0.6372, 0.7206, 0.6519)
O (0.6667, 0.3333, 0.1165)
O (0.7206, 0.0834, 0.3481)
O (0.9166, 0.6372, 0.3481)

=====

5.
Compound: RbZr2SO
Source: Alexandria via LeMat-Bulk
Functional: PBE
Structure: optimized geometry

- Formation energy without anion corrections: -299 kJ/mol of formula units
- Total DFT energy (no corrections): -6.0498 eV per atom
- Size of the total moment: 0.00 μB/f.u.

Cell: 4.3460 4.3460 6.3114 Å, 90.00 90.00 90.00°
Fractional coordinates of all 5 atoms:
Rb (0.0000, 0.0000, 0.0000)
Zr (0.0000, 0.5000, 0.5000)
Zr (0.5000, 0.0000, 0.5000)
S (0.5000, 0.5000, 0.0000)
O (0.5000, 0.5000, 0.5000)

=====

6.
Compound: Rb8SbO3
Source: Alexandria via LeMat-Bulk
Functional: PBE
Structure: optimized geometry

- Formation energy without anion corrections: -713 kJ/mol of formula units
- Total DFT energy (no corrections): -2.8436 eV per atom
- Size of the total moment: 1.20 μB/f.u.

Cell: 7.4443 7.4443 7.4443 Å, 90.00 90.00 90.00°
Fractional coordinates of all 12 atoms:
Rb (0.2319, 0.2319, 0.2319)
Rb (0.2319, 0.2319, 0.7681)
Rb (0.2319, 0.7681, 0.2319)
Rb (0.2319, 0.7681, 0.7681)
Rb (0.7681, 0.2319, 0.2319)
Rb (0.7681, 0.2319, 0.7681)
Rb (0.7681, 0.7681, 0.2319)
Rb (0.7681, 0.7681, 0.7681)
Sb (0.5000, 0.5000, 0.5000)
O (0.0000, 0.0000, 0.5000)
O (0.0000, 0.5000, 0.0000)
O (0.5000, 0.0000, 0.0000)

=====

7.
Compound: Rb2SbO4
Source: Alexandria via LeMat-Bulk
Functional: PBE
Structure: optimized geometry

- Formation energy without anion corrections: -909 kJ/mol of formula units
- Total DFT energy (no corrections): -5.0449 eV per atom
- Relative energy among the computed polymorphs: 0.000 eV per atom
- Size of the total moment: 1.02 μB/f.u.

Cell: 7.7800 7.7800 7.7800 Å, 149.14 149.14 44.21°
Fractional coordinates of all 7 atoms:
Rb (0.1565, 0.1565, 0.0000)
Rb (0.8435, 0.8435, 0.0000)
Sb (0.5000, 0.5000, 0.0000)
O (0.0000, 0.5000, 0.5000)
O (0.3655, 0.3655, 0.0000)
O (0.5000, 0.0000, 0.5000)
O (0.6345, 0.6345, 0.0000)

=====

8.
Compound: Rb2Sb3O8
Source: Alexandria via LeMat-Bulk
Functional: PBE
Structure: optimized geometry

- Formation energy without anion corrections: -1868 kJ/mol of formula units
- Total DFT energy (no corrections): -5.6410 eV per atom
- Size of the total moment: 0.00 μB/f.u.

Cell: 7.6667 7.6667 5.4384 Å, 106.59 106.59 50.81°
Fractional coordinates of all 13 atoms:
Rb (0.2232, 0.2232, 0.1680)
Rb (0.7768, 0.7768, 0.8320)
Sb (0.2361, 0.7639, 0.5000)
Sb (0.5000, 0.5000, 0.0000)
Sb (0.7639, 0.2361, 0.5000)
O (0.0920, 0.0920, 0.4755)
O (0.2054, 0.6344, 0.1191)
O (0.3656, 0.7946, 0.8809)
O (0.4171, 0.4171, 0.6063)
O (0.5829, 0.5829, 0.3937)
O (0.6344, 0.2054, 0.1191)
O (0.7946, 0.3656, 0.8809)
O (0.9080, 0.9080, 0.5245)